(1)
DFT (PBE) results for a relaxed structure of Ac2In3Sn. Values from VASP.

```
&SYSTEM
  ibrav = 0, nat = 6, ntyp = 3
/
ATOMIC_SPECIES
In 114.82 In.upf
Ac 227.00 Ac.upf
Sn 118.71 Sn.upf
CELL_PARAMETERS angstrom
-0.702 -0.789 4.527
-4.513 -1.587 -0.976
2.955 -7.848 -0.909
ATOMIC_POSITIONS angstrom
In 0.127 -1.664 2.117
In 2.102 -6.908 1.509
In -0.622 -6.460 1.165
Ac -2.243 -0.829 -0.492
Ac 1.465 -3.891 -0.450
Sn -1.614 -3.825 1.470
```

Its calculated total energy is -23.3 eV/f.u. The calculation puts the density of states at the Fermi level at 2.8 states/eV/f.u. The value obtained for the energy above the lowest structure with this stoichiometry is 0.09 eV/f.u. The calculation puts the calculated formation energy at -0.48 eV per atom.

(2)
DFT (PBE) results for a relaxed structure of LaHgCl. Values from VASP.

```
&SYSTEM
  ibrav = 0, nat = 3, ntyp = 3
/
ATOMIC_SPECIES
Hg 200.59 Hg.upf
Cl 35.45 Cl.upf
La 138.91 La.upf
CELL_PARAMETERS angstrom
-1.132 0.764 4.772
1.300 -3.349 3.426
3.588 1.053 3.264
ATOMIC_POSITIONS angstrom
Hg 0.000 0.000 0.000
Cl 0.939 -0.383 2.865
La 1.879 -0.766 5.731
```

Its calculated total energy is -9.7 eV/f.u. The calculation puts the density of states at the Fermi level at 2.1 states/eV/f.u. The value obtained for the energy above the lowest structure with this stoichiometry is 1.05 eV/f.u. As for the energy relative to the elements, uncorrected: -0.859 eV/atom.

(3)
DFT (PBE) results for a relaxed structure of CePr5S8. Values from VASP.

```
&SYSTEM
  ibrav = 0, nat = 14, ntyp = 3
/
ATOMIC_SPECIES
Pr 140.91 Pr.upf
S 32.06 S.upf
Ce 140.12 Ce.upf
CELL_PARAMETERS angstrom
-5.601 4.954 -0.327
-2.776 -6.874 1.032
4.511 1.776 5.702
ATOMIC_POSITIONS angstrom
Pr -3.183 0.538 3.979
Pr -6.018 2.628 0.787
Pr -6.205 -1.215 1.977
Pr -0.545 3.365 2.687
Pr -2.438 0.940 0.041
S -2.025 -1.536 5.694
S -3.336 2.786 2.129
S -0.676 1.911 5.199
S -2.491 5.406 3.919
S -3.302 -1.366 1.758
S -0.418 -3.619 3.729
S -0.529 0.308 2.336
S -2.687 -4.466 0.865
Ce 0.595 -0.866 4.711
```

Its calculated total energy is -91.1 eV/f.u. The calculation puts the density of states at the Fermi level at 12.7 states/eV/f.u. As for the energy relative to the elements, uncorrected: -2.018 eV/atom.

(4)
DFT (PBE) results for a relaxed structure of AcPr5Ir4. Values from VASP.

```
&SYSTEM
  ibrav = 0, nat = 10, ntyp = 3
/
ATOMIC_SPECIES
Pr 140.91 Pr.upf
Ac 227.00 Ac.upf
Ir 192.22 Ir.upf
CELL_PARAMETERS angstrom
4.407 0.000 0.000
0.000 7.728 -1.307
-2.204 -2.438 9.140
ATOMIC_POSITIONS angstrom
Pr 0.000 2.341 2.502
Pr 2.204 2.949 5.332
Pr 2.204 -1.043 6.007
Pr 0.000 6.333 1.827
Pr 2.204 3.864 -0.653
Ac 2.204 0.000 0.000
Ir 2.204 0.568 3.383
Ir 0.000 2.038 -0.344
Ir 0.000 4.722 4.450
Ir 2.204 3.252 8.178
```

Its calculated total energy is -68.6 eV/f.u. The calculation puts the density of states at the Fermi level at 5.2 states/eV/f.u. The calculation puts the calculated formation energy at -0.52 eV per atom.

(5)
DFT (PBE) results for a relaxed structure of TiAgP2C. Values from VASP.

```
&SYSTEM
  ibrav = 0, nat = 5, ntyp = 4
/
ATOMIC_SPECIES
P 30.97 P.upf
Ag 107.87 Ag.upf
C 12.01 C.upf
Ti 47.87 Ti.upf
CELL_PARAMETERS angstrom
4.201 0.000 0.000
0.000 4.052 0.000
0.000 0.000 4.201
ATOMIC_POSITIONS angstrom
P 2.101 0.000 0.000
P 0.000 0.000 2.101
Ag 2.101 2.026 2.101
C 0.000 0.000 0.000
Ti 0.000 2.026 0.000
```

Its calculated total energy is -28.1 eV/f.u. The calculation puts the density of states at the Fermi level at 3.0 states/eV/f.u. The calculation puts the calculated formation energy at 0.54 eV per atom.

(6)
DFT (PBE) results for a relaxed structure of LuB2Os. Values from VASP.

```
&SYSTEM
  ibrav = 0, nat = 4, ntyp = 3
/
ATOMIC_SPECIES
Lu 174.97 Lu.upf
Os 190.23 Os.upf
B 10.81 B.upf
CELL_PARAMETERS angstrom
-2.352 1.756 -2.152
-2.900 -1.749 -1.335
-4.176 1.234 2.493
ATOMIC_POSITIONS angstrom
Lu -4.714 0.620 -0.497
Os 0.000 0.000 0.000
B -2.068 0.163 -0.684
B -7.360 1.077 -0.310
```

Its calculated total energy is -30.3 eV/f.u. The calculation puts the density of states at the Fermi level at 1.4 states/eV/f.u. The value obtained for the energy above the lowest structure with this stoichiometry is 1.37 eV/f.u. The calculation puts the calculated formation energy at -0.30 eV per atom.

(7)
DFT (PBE) results for a relaxed structure of ScAlP. Values from VASP.

```
&SYSTEM
  ibrav = 0, nat = 3, ntyp = 3
/
ATOMIC_SPECIES
Al 26.98 Al.upf
Sc 44.96 Sc.upf
P 30.97 P.upf
CELL_PARAMETERS angstrom
4.146 0.000 0.000
-2.073 3.590 0.000
0.000 0.000 3.508
ATOMIC_POSITIONS angstrom
Al 0.000 0.000 0.585
Sc 0.000 2.394 2.339
P 2.073 1.197 0.585
```

Its calculated total energy is -17.1 eV/f.u. The calculation puts the density of states at the Fermi level at 1.6 states/eV/f.u. The calculation puts the calculated formation energy at -0.52 eV per atom.

(8)
DFT (PBE) results for a relaxed structure of SbAsW. Values from VASP.

```
&SYSTEM
  ibrav = 0, nat = 12, ntyp = 3
/
ATOMIC_SPECIES
Sb 121.76 Sb.upf
As 74.92 As.upf
W 183.84 W.upf
CELL_PARAMETERS angstrom
-5.268 3.521 2.351
-1.138 -4.819 4.665
4.035 5.441 0.893
ATOMIC_POSITIONS angstrom
Sb -2.181 3.297 2.542
Sb -1.359 6.817 3.522
Sb -0.190 0.846 5.368
Sb -1.012 -2.674 4.388
As -0.693 3.784 5.335
As 1.433 2.349 2.533
As -1.678 0.359 2.574
As -3.804 1.794 5.377
W 0.171 4.542 3.096
W 0.679 0.133 1.522
W -2.542 -0.398 4.813
W -3.050 4.010 6.387
```

Its calculated total energy is -21.0 eV/f.u. The calculation puts the density of states at the Fermi level at 1.9 states/eV/f.u. The value obtained for the energy above the lowest structure with this stoichiometry is 0.15 eV/f.u. As for the energy relative to the elements, uncorrected: 0.249 eV/atom.

Please write out number 1 again, unchanged.
DFT (PBE) results for a relaxed structure of Ac2In3Sn. Values from VASP.

```
&SYSTEM
  ibrav = 0, nat = 6, ntyp = 3
/
ATOMIC_SPECIES
In 114.82 In.upf
Ac 227.00 Ac.upf
Sn 118.71 Sn.upf
CELL_PARAMETERS angstrom
-0.702 -0.789 4.527
-4.513 -1.587 -0.976
2.955 -7.848 -0.909
ATOMIC_POSITIONS angstrom
In 0.127 -1.664 2.117
In 2.102 -6.908 1.509
In -0.622 -6.460 1.165
Ac -2.243 -0.829 -0.492
Ac 1.465 -3.891 -0.450
Sn -1.614 -3.825 1.470
```

Its calculated total energy is -23.3 eV/f.u. The calculation puts the density of states at the Fermi level at 2.8 states/eV/f.u. The value obtained for the energy above the lowest structure with this stoichiometry is 0.09 eV/f.u. The calculation puts the calculated formation energy at -0.48 eV per atom.